{"formula": "V12PbO30", "functional": "GGA+U", "state": "relaxed", "rho_g_cm3": 3.79, "total_magnetization_mub_per_fu": 2.00, "e_tot_ev_per_atom": -7.417, "lattice_angstrom": [[7.343, 0.000, 0.000], [1.832, 8.010, 0.000], [0.000, 3.539, 9.684]], "species": ["V", "V", "V", "V", "V", "V", "V", "V", "V", "V", "V", "V", "Pb", "O", "O", "O", "O", "O", "O", "O", "O", "O", "O", "O", "O", "O", "O", "O", "O", "O", "O", "O", "O", "O", "O", "O", "O", "O", "O", "O", "O", "O", "O"], "frac_coords": [[0.000, 0.000, 0.000], [0.024, 0.903, 0.693], [0.187, 0.245, 0.488], [0.214, 0.133, 0.190], [0.300, 0.796, 0.484], [0.416, 0.330, 0.713], [0.498, 0.999, 0.003], [0.522, 0.904, 0.694], [0.686, 0.247, 0.488], [0.719, 0.128, 0.191], [0.797, 0.804, 0.484], [0.913, 0.341, 0.703], [0.368, 0.565, 0.996], [0.037, 0.842, 0.521], [0.064, 0.786, 0.058], [0.088, 0.707, 0.813], [0.151, 0.438, 0.371], [0.159, 0.349, 0.124], [0.165, 0.307, 0.660], [0.226, 0.100, 0.374], [0.232, 0.062, 0.020], [0.253, 0.952, 0.642], [0.299, 0.801, 0.324], [0.355, 0.573, 0.587], [0.413, 0.354, 0.869], [0.450, 0.196, 0.547], [0.478, 0.081, 0.169], [0.487, 0.052, 0.819], [0.539, 0.842, 0.522], [0.540, 0.784, 0.064], [0.550, 0.706, 0.817], [0.627, 0.439, 0.369], [0.665, 0.345, 0.124], [0.678, 0.308, 0.659], [0.722, 0.098, 0.376], [0.738, 0.049, 0.025], [0.771, 0.940, 0.648], [0.796, 0.806, 0.325], [0.855, 0.576, 0.590], [0.910, 0.350, 0.858], [0.946, 0.208, 0.531], [0.980, 0.074, 0.171], [0.986, 0.048, 0.813]]}